# Ca2MnP2H4O10

A PBEsol-optimized structure of Ca2MnP2H4O10 (meta-GGA SCAN, the Alexandria database).

Calculated values
* M_tot: 5.00 Bohr magnetons per cell
* density: 3.156 Mg/m³
* E_tot: -9.436 eV per atom

Cell lengths 5.501, 5.743, 6.537 Å; angles 89.82, 102.93, 108.82 degrees
Last column: magnetic moment on the atom in μB.
Fractional positions:
Ca  0.333  0.602  0.232  0.00
Ca  0.667  0.398  0.768  0.00
Mn  0.000  0.000  0.000  4.60
P  0.350  0.752  0.767  0.01
P  0.650  0.248  0.233  0.01
H  0.807  0.070  0.561  0.00
H  0.193  0.930  0.439  0.00
H  0.084  0.287  0.660  0.00
H  0.916  0.713  0.340  0.00
O  0.931  0.158  0.701  0.02
O  0.069  0.842  0.299  0.02
O  0.396  0.244  0.067  0.03
O  0.604  0.756  0.933  0.03
O  0.881  0.308  0.118  0.03
O  0.119  0.692  0.882  0.03
O  0.620  0.003  0.335  0.00
O  0.380  0.997  0.665  0.00
O  0.700  0.463  0.399  0.00
O  0.300  0.537  0.601  0.00